No. 1
DFT (GGA-PBE) results for an optimized crystal structure of CaMgAl6.

a b c (Å): 4.518 5.423 6.452
angles (deg): 90.00 90.00 90.00
Sites, in units of the cell vectors:
Ca (0.000, 0.656, 0.000)
Mg (0.500, 0.368, 0.500)
Al (0.500, 0.860, 0.290)
Al (0.000, 0.168, 0.732)
Al (0.000, 0.168, 0.268)
Al (0.500, 0.860, 0.710)
Al (0.000, 0.690, 0.500)
Al (0.500, 0.230, 0.000)

Output
- E_form (eV/atom) = -0.037
- crystal system = orthorhombic
- space group = Pmm2 (25)


No. 2
DFT (GGA-PBE) results for an optimized crystal structure of Dy2Y15Ho2.

a b c (Å): 8.767 8.767 8.767
angles (deg): 79.25 79.25 79.25
Sites, in units of the cell vectors:
Dy (0.320, 0.320, 0.320)
Dy (0.680, 0.680, 0.680)
Y (0.000, 0.000, 0.500)
Y (0.500, 0.000, 0.000)
Y (0.000, 0.500, 0.000)
Y (0.299, 0.701, 0.000)
Y (0.000, 0.299, 0.701)
Y (0.701, 0.000, 0.299)
Y (0.000, 0.701, 0.299)
Y (0.299, 0.000, 0.701)
Y (0.701, 0.299, 0.000)
Y (0.628, 0.628, 0.149)
Y (0.149, 0.628, 0.628)
Y (0.628, 0.149, 0.628)
Y (0.372, 0.372, 0.851)
Y (0.851, 0.372, 0.372)
Y (0.372, 0.851, 0.372)
Ho (0.096, 0.096, 0.096)
Ho (0.904, 0.904, 0.904)

Output
- E_form (eV/atom) = 0.300
- crystal system = trigonal
- space group = R-3m (166)


No. 3
DFT (GGA-PBE) results for an optimized crystal structure of HfTaTi2Se.

a b c (Å): 4.859 4.819 4.859
angles (deg): 90.00 90.00 90.00
Site moments in Bohr magnetons follow the coordinates.
Sites, in units of the cell vectors:
Ti (0.000, 0.000, 0.500)  -0.01
Ti (0.500, 0.000, 0.000)  0.01
Hf (0.000, 0.000, 0.000)  -0.02
Se (0.000, 0.500, 0.000)  0.00
Ta (0.500, 0.500, 0.500)  0.30

Output
- uncorrected formation energy (eV/atom) = 1.31
- crystal system = tetragonal
- space group = P4/mmm (123)


No. 4
DFT (GGA-PBE) results for an optimized crystal structure of Na2CaBiS.

a b c (Å): 5.245 5.245 5.396
angles (deg): 90.00 90.00 90.00
Site moments in Bohr magnetons follow the coordinates.
Sites, in units of the cell vectors:
S (0.000, 0.000, 0.000)  0.03
Na (0.000, 0.500, 0.000)  0.00
Na (0.500, 0.000, 0.000)  0.00
Ca (0.000, 0.000, 0.500)  0.01
Bi (0.500, 0.500, 0.500)  0.37

Output
- uncorrected formation energy (eV/atom) = -0.82
- crystal system = tetragonal
- space group = P4/mmm (123)


No. 5
DFT (GGA-PBE) results for an optimized crystal structure of CdTeAu.

a b c (Å): 5.665 4.596 12.782
angles (deg): 90.00 105.71 90.00
Sites, in units of the cell vectors:
Te (0.487, 0.000, 0.277)
Te (0.487, 0.500, 0.777)
Te (0.086, 0.000, 0.935)
Te (0.086, 0.500, 0.435)
Au (0.719, 0.000, 0.721)
Au (0.719, 0.500, 0.221)
Au (0.962, 0.000, 0.543)
Au (0.962, 0.500, 0.043)
Cd (0.449, 0.000, 0.500)
Cd (0.449, 0.500, 0.000)
Cd (0.967, 0.000, 0.172)
Cd (0.967, 0.500, 0.672)

Output
- uncorrected formation energy (eV/atom) = -0.17
- crystal system = monoclinic
- excess energy over the best structure of this formula in the dataset (kJ/mol of atoms) = 0.0
- space group = Cm (8)


No. 6
DFT (GGA-PBE) results for an optimized crystal structure of AsAuNF.

a b c (Å): 4.274 2.987 5.480
angles (deg): 90.00 89.87 90.00
Sites, in units of the cell vectors:
As (0.085, 0.500, 0.895)
Au (0.669, 0.000, 0.215)
N (0.185, 0.000, 0.110)
F (0.445, 0.500, 0.713)

Output
- uncorrected formation energy (eV/atom) = -0.23
- crystal system = monoclinic
- excess energy over the best structure of this formula in the dataset (kJ/mol of atoms) = 17.1
- space group = Pm (6)


No. 7
DFT (GGA-PBE) results for an optimized crystal structure of InTe2Pd2.

a b c (Å): 5.389 5.389 5.696
angles (deg): 61.77 61.77 90.00
Sites, in units of the cell vectors:
Te (0.750, 0.250, 0.500)
Te (0.250, 0.750, 0.500)
Pd (0.324, 0.324, 0.351)
Pd (0.676, 0.676, 0.649)
In (0.000, 0.000, 0.000)

Output
- uncorrected formation energy (eV/atom) = -0.16
- crystal system = tetragonal
- excess energy over the best structure of this formula in the dataset (kJ/mol of atoms) = 6.3
- space group = I4/mmm (139)


No. 8
DFT (GGA-PBE) results for an optimized crystal structure of KEu2Pb.

a b c (Å): 3.951 3.951 11.230
angles (deg): 90.00 90.00 90.00
Site moments in Bohr magnetons follow the coordinates.
Sites, in units of the cell vectors:
Pb (0.500, 0.500, 0.000)  -0.01
Eu (0.000, 0.000, 0.820)  6.95
Eu (0.000, 0.000, 0.180)  6.95
K (0.500, 0.500, 0.500)  0.01

Output
- E_form (eV/atom) = -0.202
- crystal system = tetragonal
- excess energy over the best structure of this formula in the dataset (kJ/mol of atoms) = 0.0
- space group = P4/mmm (123)


No. 9
DFT (GGA-PBE) results for an optimized crystal structure of LiInTeN2.

a b c (Å): 4.340 4.340 6.314
angles (deg): 90.00 90.00 90.00
Site moments in Bohr magnetons follow the coordinates.
Sites, in units of the cell vectors:
N (0.000, 0.500, 0.000)  1.15
N (0.500, 0.000, 0.000)  1.15
Te (0.000, 0.000, 0.500)  0.27
Li (0.500, 0.500, 0.500)  0.00
In (0.000, 0.000, 0.000)  -0.02

Output
- uncorrected formation energy (eV/atom) = 1.10
- crystal system = tetragonal
- excess energy over the best structure of this formula in the dataset (kJ/mol of atoms) = 0.0
- space group = P4/mmm (123)


No. 10
DFT (GGA-PBE) results for an optimized crystal structure of NaNp2NiS5.

a b c (Å): 4.311 6.727 7.749
angles (deg): 115.73 106.15 90.00
Site moments in Bohr magnetons follow the coordinates.
Sites, in units of the cell vectors:
Na (0.000, 0.500, 0.000)  0.00
Np (0.196, 0.196, 0.393)  3.41
Np (0.804, 0.804, 0.607)  3.41
Ni (0.500, 0.000, 0.000)  -0.42
S (0.646, 0.901, 0.292)  -0.12
S (0.354, 0.099, 0.708)  -0.12
S (0.354, 0.609, 0.708)  -0.12
S (0.646, 0.391, 0.292)  -0.12
S (0.000, 0.000, 0.000)  -0.12

Output
- uncorrected formation energy (eV/atom) = -1.06
- crystal system = orthorhombic
- space group = Immm (71)


No. 11
DFT (GGA-PBE) results for an optimized crystal structure of AcSc2Tc.

a b c (Å): 3.395 3.395 8.824
angles (deg): 90.00 90.00 90.00
Sites, in units of the cell vectors:
Sc (0.000, 0.000, 0.831)
Sc (0.000, 0.000, 0.169)
Ac (0.500, 0.500, 0.500)
Tc (0.500, 0.500, 0.000)

Output
- E_form (eV/atom) = -0.015
- crystal system = tetragonal
- excess energy over the best structure of this formula in the dataset (kJ/mol of atoms) = 0.0
- space group = P4/mmm (123)


No. 12
DFT (GGA-PBE) results for an optimized crystal structure of LaTcB3.

a b c (Å): 4.177 4.177 4.177
angles (deg): 90.00 90.00 90.00
Sites, in units of the cell vectors:
B (0.000, 0.500, 0.000)
B (0.000, 0.000, 0.500)
B (0.500, 0.000, 0.000)
Tc (0.000, 0.000, 0.000)
La (0.500, 0.500, 0.500)

Output
- E_form (eV/atom) = -0.007
- crystal system = cubic
- excess energy over the best structure of this formula in the dataset (kJ/mol of atoms) = 0.0
- space group = Pm-3m (221)


Number 1: spin magnetization 0.000 μB per formula unit. Number 2: spin magnetization 0.003 μB per formula unit. Number 3: spin magnetization 0.422 μB per formula unit. Number 4: spin magnetization 0.720 μB per formula unit. Number 5: spin magnetization 0.000 μB per formula unit. Number 6: spin magnetization 0.000 μB per formula unit. Number 7: spin magnetization 0.000 μB per formula unit. Number 8: spin magnetization 14.796 μB per formula unit. Number 9: spin magnetization 3.846 μB per formula unit. Number 10: spin magnetization 5.945 μB per formula unit. Number 11: spin magnetization 0.000 μB per formula unit. Number 12: spin magnetization 0.000 μB per formula unit.